Record 1
A plane-wave DFT calculation with PBE was carried out for an optimized crystal structure of NdGeN.

Density of states at the Fermi level, states/eV/atom: 0.2939
E, eV/cell: -39.46
Excess energy over the best structure of this formula in the dataset, kJ/mol of formula units: 0
Formation energy from raw total energies, kcal/mol of atoms: -15.52

a = 3.8949 Å, b = 4.0210 Å, c = 8.3027 Å
α = 76.67°, β = 78.88°, γ = 68.64°
With the nearest neighbours (Å) after each atom.
Fractional positions:
Nd (0.1439, 0.1447, 0.1714)  4 N 2.37-2.53
Nd (0.8561, 0.8553, 0.8286)  4 N 2.37-2.53
Ge (0.3057, 0.3026, 0.5595)  3 Ge 2.50-2.65
Ge (0.6943, 0.6974, 0.4405)  3 Ge 2.50-2.65
N (0.3543, 0.6600, 0.0202)  1 N 1.43
N (0.6457, 0.3400, 0.9798)  1 N 1.43

=====

Record 2
A plane-wave DFT calculation with PBE was carried out for an optimized crystal structure of Nd3GeN4.

Density of states at the Fermi level, states/eV/atom: 0.2220
E, eV/cell: -118.36
Formation energy from raw total energies, kcal/mol of atoms: -20.06

a = 7.6729 Å, b = 6.8282 Å, c = 5.4766 Å
α = 90.00°, β = 90.00°, γ = 90.00°
With the nearest neighbours (Å) after each atom.
Fractional positions:
Nd (0.0000, 0.1502, 0.0000)  4 N 2.30-2.48
Nd (0.2499, 0.3356, 0.5012)  4 N 2.32-2.49
Nd (0.2501, 0.6644, 0.0012)  4 N 2.32-2.49
Nd (0.5000, 0.8498, 0.5000)  4 N 2.30-2.48
Nd (0.7501, 0.3356, 0.5012)  4 N 2.32-2.49
Nd (0.7499, 0.6644, 0.0012)  4 N 2.32-2.49
Ge (0.0000, 0.8310, 0.4721)  4 N 1.91-1.96
Ge (0.5000, 0.1690, 0.9721)  4 N 1.91-1.96
N (0.0000, 0.1116, 0.5490)  1 Ge 1.96
N (0.0000, 0.8290, 0.1238)  1 Ge 1.91
N (0.2125, 0.6946, 0.5554)  1 Ge 1.93
N (0.2875, 0.3054, 0.0554)  1 Ge 1.93
N (0.5000, 0.1710, 0.6238)  1 Ge 1.91
N (0.5000, 0.8884, 0.0490)  1 Ge 1.96
N (0.7125, 0.3054, 0.0554)  1 Ge 1.93
N (0.7875, 0.6946, 0.5554)  1 Ge 1.93